Material: Li2InAs
Method: DFT, GGA-PBE
State: relaxed

```
Li2InAs
1.0
2.946 -4.101 0.000
2.946 4.101 0.000
0.000 0.000 3.019
Li In As
2 1 1
direct
0.000 0.500 0.000 Li
0.500 0.000 0.000 Li
0.000 0.000 0.500 In
0.500 0.500 0.500 As
```

Material: Ac4IrPd
Method: DFT, GGA-PBE
State: relaxed

Results
The relative energy among the computed polymorphs is 0.0 kJ/mol of atoms.

```
Ac4IrPd
1.0
7.019 0.000 0.000
0.000 4.412 0.000
-0.028 0.000 7.664
Ac Ir Pd
4 1 1
direct
0.229 0.000 0.342 Ac
0.231 0.500 0.825 Ac
0.769 0.500 0.175 Ac
0.771 0.000 0.658 Ac
0.000 0.500 0.500 Ir
0.000 0.000 0.000 Pd
```

Material: LiBe3Au4
Method: DFT, GGA-PBE
State: relaxed

```
LiBe3Au4
1.0
2.122 1.225 6.879
-2.122 1.225 6.879
0.000 -2.451 6.879
Li Be Au
1 3 4
direct
0.000 0.000 0.000 Li
0.256 0.256 0.256 Be
0.500 0.500 0.500 Be
0.744 0.744 0.744 Be
0.129 0.129 0.129 Au
0.380 0.380 0.380 Au
0.620 0.620 0.620 Au
0.871 0.871 0.871 Au
```

Material: BaNi2Ir
Method: DFT, GGA-PBE
State: relaxed

Results
The relative energy among the computed polymorphs is 45.1 kJ/mol of atoms.

```
BaNi2Ir
1.0
3.013 0.000 0.000
0.000 3.433 0.000
0.000 0.000 7.102
Ba Ni Ir
1 2 1
direct
0.000 0.000 0.000 Ba
0.500 0.500 0.334 Ni
0.500 0.500 0.666 Ni
0.000 0.000 0.500 Ir
```

Material: Li3W4
Method: DFT, GGA-PBE
State: relaxed

Results
The relative energy among the computed polymorphs is 0.0 kJ/mol of atoms.

```
Li3W4
1.0
-1.638 1.638 10.331
1.638 -1.638 10.331
1.638 1.638 -10.331
Li W
3 4
direct
0.000 0.000 0.000 Li
0.286 0.286 0.000 Li
0.714 0.714 0.000 Li
0.131 0.131 0.000 W
0.429 0.429 0.000 W
0.571 0.571 0.000 W
0.869 0.869 0.000 W
```

Material: LiCaInPt
Method: DFT, GGA-PBE
State: relaxed

```
LiCaInPt
1.0
0.000 3.416 3.416
3.416 0.000 3.416
3.416 3.416 0.000
Li Ca In Pt
1 1 1 1
direct
0.000 0.000 0.000 Li
0.750 0.750 0.750 Ca
0.250 0.250 0.250 In
0.500 0.500 0.500 Pt
```

Material: Ta2ZnOs
Method: DFT, GGA-PBE
State: relaxed

```
Ta2ZnOs
1.0
-1.992 2.098 3.874
1.992 -2.098 3.874
1.992 2.098 -3.874
Ta Zn Os
2 1 1
direct
0.246 0.246 0.000 Ta
0.754 0.754 0.000 Ta
0.500 0.000 0.500 Zn
0.000 0.500 0.500 Os
```

Material: Zr2TlC
Method: DFT, GGA-PBE
State: relaxed

```
Zr2TlC
1.0
1.696 0.979 7.549
-1.696 0.979 7.549
0.000 -1.958 7.549
Zr Tl C
2 1 1
direct
0.221 0.221 0.221 Zr
0.779 0.779 0.779 Zr
0.000 0.000 0.000 Tl
0.500 0.500 0.500 C
```

Number 1: formation enthalpy at 0 K -0.326 eV/atom, VASP energy -12.52 eV/cell. Number 2: formation enthalpy at 0 K -0.551 eV/atom, VASP energy -33.79 eV/cell. Number 3: formation enthalpy at 0 K -0.238 eV/atom, VASP energy -28.10 eV/cell. Number 4: formation enthalpy at 0 K 0.357 eV/atom, VASP energy -20.92 eV/cell. Number 5: formation enthalpy at 0 K 0.543 eV/atom, VASP energy -53.75 eV/cell. Number 6: formation enthalpy at 0 K -0.617 eV/atom, VASP energy -15.16 eV/cell. Number 7: formation enthalpy at 0 K -0.034 eV/atom, VASP energy -36.35 eV/cell. Number 8: formation enthalpy at 0 K -0.610 eV/atom, VASP energy -31.13 eV/cell.